Record 1
DFT (PBE) results for a relaxed Nd2Tl3BiS6 crystal.

Calculated values
- SG = C2/m
- formation energy from raw total energies (eV per atom) = -1.108

Cell: 7.2284 7.2284 7.8584 Å, 98.82 98.82 120.01°
Fractional positions:
Nd (0.3333, 0.6667, 0.0000)
Nd (0.6667, 0.3333, 0.0000)
Tl (0.1676, 0.8324, 0.5000)
Tl (0.8324, 0.1676, 0.5000)
Tl (0.5000, 0.5000, 0.5000)
Bi (0.0000, 0.0000, 0.0000)
S (0.9315, 0.5982, 0.7947)
S (0.7356, 0.7356, 0.2068)
S (0.0685, 0.4018, 0.2053)
S (0.5982, 0.9315, 0.7947)
S (0.2644, 0.2644, 0.7932)
S (0.4018, 0.0685, 0.2053)



Record 2
DFT (PBE) results for a relaxed NdTl3Bi2S6 crystal.

Calculated values
- SG = C2/m
- formation energy from raw total energies (eV per atom) = -0.763

Cell: 7.2106 7.2106 7.8346 Å, 98.83 98.83 119.99°
Fractional positions:
Nd (0.0000, 0.0000, 0.0000)
Tl (0.1666, 0.8334, 0.5000)
Tl (0.8334, 0.1666, 0.5000)
Tl (0.5000, 0.5000, 0.5000)
Bi (0.3336, 0.6664, 0.0000)
Bi (0.6664, 0.3336, 0.0000)
S (0.9304, 0.5965, 0.7917)
S (0.7347, 0.7347, 0.2067)
S (0.0696, 0.4035, 0.2083)
S (0.5965, 0.9304, 0.7917)
S (0.2653, 0.2653, 0.7933)
S (0.4035, 0.0696, 0.2083)



Record 3
DFT (PBE) results for a relaxed Nd6BiSb4 crystal.

Calculated values
- SG = Cmcm
- formation energy from raw total energies (eV per atom) = -1.012

Cell: 4.5206 7.7515 22.3836 Å, 90.00 90.00 106.95°
Fractional positions:
Nd (0.5000, 0.0000, 0.0000)
Nd (0.5000, 0.0000, 0.5000)
Nd (0.0442, 0.0883, 0.3354)
Nd (0.9558, 0.9117, 0.6646)
Nd (0.9558, 0.9117, 0.8354)
Nd (0.0442, 0.0883, 0.1646)
Nd (0.7719, 0.5439, 0.4151)
Nd (0.2281, 0.4561, 0.5849)
Nd (0.2281, 0.4561, 0.9151)
Nd (0.7719, 0.5439, 0.0849)
Nd (0.3161, 0.6322, 0.2500)
Nd (0.6839, 0.3678, 0.7500)
Bi (0.6614, 0.3229, 0.2500)
Bi (0.3386, 0.6771, 0.7500)
Sb (0.8626, 0.7253, 0.5420)
Sb (0.4092, 0.8184, 0.1278)
Sb (0.1374, 0.2747, 0.4580)
Sb (0.5908, 0.1816, 0.8722)
Sb (0.8626, 0.7253, 0.9580)
Sb (0.1374, 0.2747, 0.0420)
Sb (0.5908, 0.1816, 0.6278)
Sb (0.4092, 0.8184, 0.3722)



Question: Among the records above, which one has the highest formation energy from raw total energies?
Answer: NdTl3Bi2S6